(w)
A plane-wave DFT calculation with GGA-PBE was carried out for crystalline HoZrSc6 at its relaxed geometry.

Lattice parameters (Å, degrees): 4.5865 9.2802 9.3545 90.00 90.00 90.00
Space group Amm2 (No. 38)
Symmetry-distinct sites (fractional):
Ho 0.0000 0.0000 0.0000 (multiplicity 2)
Zr 0.5000 0.0000 0.2502 (multiplicity 2)
Sc 0.0000 0.0000 0.4884 (multiplicity 2)
Sc 0.0000 0.2433 0.2465 (multiplicity 4)
Sc 0.5000 0.0000 0.7414 (multiplicity 2)
Sc 0.5000 0.2454 0.4949 (multiplicity 4)

Results
Crystal system: orthorhombic

(x)
A plane-wave DFT calculation with GGA-PBE was carried out for crystalline HoZrSc6 at its relaxed geometry.

Lattice parameters (Å, degrees): 6.6687 6.6687 5.1867 90.00 90.00 120.00
Space group P-6m2 (No. 187)
Symmetry-distinct sites (fractional):
Ho 0.0000 0.0000 0.0000 (multiplicity 1)
Zr 0.3333 0.6667 0.5000 (multiplicity 1)
Sc 0.0060 0.5030 0.0000 (multiplicity 3)
Sc 0.3394 0.1697 0.5000 (multiplicity 3)

Results
Crystal system: hexagonal

Name the most stable of them. (x).

(w)
A plane-wave DFT calculation with GGA-PBE was carried out for crystalline Ho6ZrSc at its relaxed geometry.

Lattice parameters (Å, degrees): 6.4321 11.1547 6.4631 90.00 90.05 90.00
Space group C2/m (No. 12)
Symmetry-distinct sites (fractional):
Ho 0.0651 0.0000 0.2479 (multiplicity 4)
Ho 0.2164 0.2827 0.2479 (multiplicity 8)
Zr 0.0000 0.5000 0.0000 (multiplicity 2)
Sc 0.0000 0.5000 0.5000 (multiplicity 2)

Results
Crystal system: monoclinic

(x)
A plane-wave DFT calculation with GGA-PBE was carried out for crystalline Ho6ZrSc at its relaxed geometry.

Lattice parameters (Å, degrees): 6.4194 6.4203 8.0904 90.02 113.33 119.89
Space group P-1 (No. 2)
Symmetry-distinct sites (fractional):
Ho 0.0007 0.0625 0.2592 (multiplicity 2)
Ho 0.3000 0.5604 0.7401 (multiplicity 2)
Ho 0.3235 0.7624 0.2611 (multiplicity 2)
Zr 0.5000 0.5000 0.5000 (multiplicity 1)
Sc 0.5000 0.0000 0.0000 (multiplicity 1)

Results
Crystal system: triclinic

Name the most stable of them. (w).

(w)
A plane-wave DFT calculation with GGA-PBE was carried out for crystalline Ho2ZrSc2 at its relaxed geometry.

Lattice parameters (Å, degrees): 8.5916 10.2237 6.3708 90.00 105.87 90.00
Space group P2_1/c (No. 14)
Symmetry-distinct sites (fractional):
Ho 0.0989 0.1343 0.4608 (multiplicity 4)
Ho 0.2369 0.7011 0.8301 (multiplicity 4)
Zr 0.4088 0.2438 0.8779 (multiplicity 4)
Sc 0.1729 0.0427 0.9754 (multiplicity 4)
Sc 0.4486 0.5176 0.2339 (multiplicity 4)

Results
Crystal system: monoclinic

(x)
A plane-wave DFT calculation with GGA-PBE was carried out for crystalline Ho2ZrSc2 at its relaxed geometry.

Lattice parameters (Å, degrees): 6.3816 9.8625 9.0749 90.00 108.89 90.00
Space group C2/m (No. 12)
Symmetry-distinct sites (fractional):
Ho 0.0936 0.0000 0.3598 (multiplicity 4)
Ho 0.2412 0.5000 0.9456 (multiplicity 4)
Zr 0.0000 0.2990 0.5000 (multiplicity 4)
Sc 0.1530 0.2965 0.1952 (multiplicity 8)

Results
Crystal system: monoclinic

Name the most stable of them. (w).

(w)
A plane-wave DFT calculation with GGA-PBE was carried out for crystalline HoZr2Sc4 at its relaxed geometry.

Lattice parameters (Å, degrees): 3.2635 3.2635 32.5251 90.00 90.00 90.00
Space group I4/mmm (No. 139)
Symmetry-distinct sites (fractional):
Ho 0.0000 0.0000 0.0000 (multiplicity 2)
Zr 0.0000 0.0000 0.1454 (multiplicity 4)
Sc 0.0000 0.0000 0.2881 (multiplicity 4)
Sc 0.0000 0.0000 0.4224 (multiplicity 4)

Results
Crystal system: tetragonal

(x)
A plane-wave DFT calculation with GGA-PBE was carried out for crystalline HoZr2Sc4 at its relaxed geometry.

Lattice parameters (Å, degrees): 5.5251 7.8260 8.7661 88.81 76.44 71.87
Space group P1 (No. 1)
Symmetry-distinct sites (fractional):
Ho 0.0000 0.0000 0.0000 (multiplicity 1)
Ho 0.4641 0.2395 0.8871 (multiplicity 1)
Zr 0.0989 0.5929 0.1282 (multiplicity 1)
Zr 0.4501 0.3348 0.5256 (multiplicity 1)
Zr 0.7295 0.9397 0.3591 (multiplicity 1)
Zr 0.8533 0.5391 0.4746 (multiplicity 1)
Sc 0.1650 0.0810 0.6232 (multiplicity 1)
Sc 0.2092 0.1804 0.2766 (multiplicity 1)
Sc 0.2883 0.7308 0.4085 (multiplicity 1)
Sc 0.3451 0.6609 0.7609 (multiplicity 1)
Sc 0.5541 0.7919 0.0684 (multiplicity 1)
Sc 0.6651 0.3942 0.1855 (multiplicity 1)
Sc 0.7683 0.8596 0.7010 (multiplicity 1)
Sc 0.9152 0.4590 0.8220 (multiplicity 1)

Results
Crystal system: triclinic

Name the most stable of them. (w).

(w)
A plane-wave DFT calculation with GGA-PBE was carried out for crystalline HoZr2Sc at its relaxed geometry.

Lattice parameters (Å, degrees): 3.2932 3.2932 31.8959 90.00 90.00 120.00
Space group R3m (No. 160, hexagonal axes)
Symmetry-distinct sites (fractional):
Ho 0.0000 0.0000 0.0000 (multiplicity 3)
Zr 0.0000 0.0000 0.2476 (multiplicity 3)
Zr 0.0000 0.0000 0.4184 (multiplicity 3)
Sc 0.0000 0.0000 0.8331 (multiplicity 3)

Results
Crystal system: trigonal

(x)
A plane-wave DFT calculation with GGA-PBE was carried out for crystalline HoZr2Sc at its relaxed geometry.

Lattice parameters (Å, degrees): 5.6297 6.6871 10.8974 90.00 100.90 90.00
Space group P2/c (No. 13)
Symmetry-distinct sites (fractional):
Ho 0.1293 0.1347 0.1252 (multiplicity 4)
Zr 0.1265 0.3847 0.6286 (multiplicity 4)
Zr 0.3744 0.3943 0.3782 (multiplicity 4)
Sc 0.3785 0.1425 0.8752 (multiplicity 4)

Results
Crystal system: monoclinic

Name the most stable of them. (x).

(w)
A plane-wave DFT calculation with GGA-PBE was carried out for crystalline HoZr2Sc6 at its relaxed geometry.

Lattice parameters (Å, degrees): 3.3061 3.3061 23.8337 90.00 90.00 120.00
Space group P-6m2 (No. 187)
Symmetry-distinct sites (fractional):
Ho 0.0000 0.0000 0.0000 (multiplicity 1)
Zr 0.3333 0.6667 0.3319 (multiplicity 2)
Sc 0.0000 0.0000 0.2248 (multiplicity 2)
Sc 0.0000 0.0000 0.4361 (multiplicity 2)
Sc 0.3333 0.6667 0.1160 (multiplicity 2)

Results
Crystal system: hexagonal

(x)
A plane-wave DFT calculation with GGA-PBE was carried out for crystalline HoZr2Sc6 at its relaxed geometry.

Lattice parameters (Å, degrees): 11.5236 13.4316 5.9743 90.00 104.25 90.00
Space group C2/c (No. 15)
Symmetry-distinct sites (fractional):
Ho 0.0000 0.1102 0.2500 (multiplicity 4)
Zr 0.1354 0.4787 0.3698 (multiplicity 8)
Sc 0.0488 0.3176 0.0200 (multiplicity 8)
Sc 0.1474 0.0947 0.8201 (multiplicity 8)
Sc 0.2311 0.3066 0.7044 (multiplicity 8)

Results
Crystal system: monoclinic

Name the most stable of them. (w).

(w)
A plane-wave DFT calculation with GGA-PBE was carried out for crystalline HoZrSc4 at its relaxed geometry.

Lattice parameters (Å, degrees): 8.2539 13.2575 5.9925 90.00 109.55 90.00
Space group C2/c (No. 15)
Symmetry-distinct sites (fractional):
Ho 0.0000 0.0862 0.2500 (multiplicity 4)
Zr 0.0000 0.4968 0.7500 (multiplicity 4)
Sc 0.0941 0.3106 0.5333 (multiplicity 8)
Sc 0.2115 0.1296 0.8747 (multiplicity 8)

Results
Crystal system: monoclinic

(x)
A plane-wave DFT calculation with GGA-PBE was carried out for crystalline HoZrSc4 at its relaxed geometry.

Lattice parameters (Å, degrees): 5.2033 3.3255 17.4697 90.00 90.00 90.00
Space group Amm2 (No. 38)
Symmetry-distinct sites (fractional):
Ho 0.0000 0.0000 0.0000 (multiplicity 2)
Zr 0.5000 0.0000 0.7781 (multiplicity 2)
Sc 0.0000 0.0000 0.3296 (multiplicity 2)
Sc 0.0000 0.0000 0.6702 (multiplicity 2)
Sc 0.5000 0.0000 0.1165 (multiplicity 2)
Sc 0.5000 0.0000 0.4365 (multiplicity 2)

Results
Crystal system: orthorhombic

Name the most stable of them. (x).

(w)
A plane-wave DFT calculation with GGA-PBE was carried out for crystalline SmHo3Se4 at its relaxed geometry.

Lattice parameters (Å, degrees): 8.2794 11.5609 4.0304 90.00 90.00 90.00
Space group Cmmm (No. 65)
Symmetry-distinct sites (fractional):
Sm 0.0000 0.0000 0.0000 (multiplicity 2)
Ho 0.0000 0.5000 0.0000 (multiplicity 2)
Ho 0.2500 0.2500 0.5000 (multiplicity 4)
Se 0.0000 0.2536 0.0000 (multiplicity 4)
Se 0.2427 0.5000 0.5000 (multiplicity 4)

Results
Crystal system: orthorhombic

(x)
A plane-wave DFT calculation with GGA-PBE was carried out for crystalline SmHo3Se4 at its relaxed geometry.

Lattice parameters (Å, degrees): 5.7808 5.7808 5.7808 90.00 90.00 90.00
Space group Pm-3m (No. 221)
Symmetry-distinct sites (fractional):
Sm 0.0000 0.0000 0.0000 (multiplicity 1)
Ho 0.0000 0.5000 0.5000 (multiplicity 3)
Se 0.0000 0.0000 0.5000 (multiplicity 3)
Se 0.5000 0.5000 0.5000 (multiplicity 1)

Results
Crystal system: cubic

Name the most stable of them. (w).